1.
16
Lattice="6.8065 0.0000 0.0000 0.0000 6.8065 0.0000 0.0000 0.0000 6.8065" Properties=species:S:1:pos:R:3 comment="meta-GGA SCAN YHoCu2, PBEsol geometry" volume_a3_per_fu=78.83 energy_ev_per_atom=-27.12 ef_ev_per_atom=-0.31 pbc="T T T"
Y 0.0000 0.0000 0.0000
Y 0.0000 3.4032 3.4032
Y 3.4032 0.0000 3.4032
Y 3.4032 3.4032 0.0000
Ho 0.0000 0.0000 3.4032
Ho 0.0000 3.4032 0.0000
Ho 3.4032 0.0000 0.0000
Ho 3.4032 3.4032 3.4032
Cu 1.7016 1.7016 1.7016
Cu 1.7016 1.7016 5.1049
Cu 1.7016 5.1049 1.7016
Cu 1.7016 5.1049 5.1049
Cu 5.1049 1.7016 1.7016
Cu 5.1049 1.7016 5.1049
Cu 5.1049 5.1049 1.7016
Cu 5.1049 5.1049 5.1049

2.
5
Lattice="5.7772 0.0000 0.0000 0.0000 5.7772 0.0000 0.0000 0.0000 5.7772" Properties=species:S:1:pos:R:3 comment="meta-GGA SCAN InCuI3, PBEsol geometry" volume_a3_per_fu=192.82 energy_ev_per_atom=-31.43 formation_energy_uncorrected_ev_per_atom=0.34 pbc="T T T"
In 0.0000 0.0000 0.0000
Cu 2.8886 2.8886 2.8886
I 0.0000 0.0000 2.8886
I 0.0000 2.8886 0.0000
I 2.8886 0.0000 0.0000

3.
5
Lattice="5.1290 0.0000 0.0000 0.0000 5.1290 0.0000 0.0000 0.0000 5.1290" Properties=species:S:1:pos:R:3 comment="meta-GGA SCAN In3CuI, PBEsol geometry" volume_a3_per_fu=134.93 energy_ev_per_atom=-30.51 formation_energy_uncorrected_ev_per_atom=-0.09 pbc="T T T"
In 0.0000 0.0000 2.5645
In 0.0000 2.5645 0.0000
In 2.5645 0.0000 0.0000
Cu 0.0000 0.0000 0.0000
I 2.5645 2.5645 2.5645

4.
5
Lattice="5.7283 0.0000 0.0000 0.0000 5.7283 0.0000 0.0000 0.0000 5.6668" Properties=species:S:1:pos:R:3 comment="meta-GGA SCAN InCuTeI2, PBEsol geometry" volume_a3_per_fu=185.94 energy_ev_per_atom=-31.30 formation_energy_uncorrected_ev_per_atom=0.56 pbc="T T T"
In 0.0000 0.0000 0.0000
Cu 2.8641 2.8641 2.8334
Te 0.0000 0.0000 2.8334
I 0.0000 2.8641 0.0000
I 2.8641 0.0000 0.0000

5.
5
Lattice="3.7068 0.0000 0.0000 0.0000 3.7068 0.0000 0.0000 0.0000 5.9379" Properties=species:S:1:pos:R:3 comment="meta-GGA SCAN CuIrIN2, PBEsol geometry" volume_a3_per_fu=81.59 energy_ev_per_atom=-26.45 formation_energy_uncorrected_ev_per_atom=1.87 pbc="T T T"
Cu 0.0000 0.0000 0.0000
Ir 1.8534 1.8534 2.9690
I 0.0000 0.0000 2.9690
N 0.0000 1.8534 0.0000
N 1.8534 0.0000 0.0000

6.
5
Lattice="5.0303 0.0000 0.0000 0.0000 5.0303 0.0000 0.0000 0.0000 5.0458" Properties=species:S:1:pos:R:3 comment="meta-GGA SCAN CuTeIrI2, PBEsol geometry" volume_a3_per_fu=127.68 energy_ev_per_atom=-38.03 formation_energy_uncorrected_ev_per_atom=1.38 pbc="T T T"
Cu 0.0000 0.0000 0.0000
Te 0.0000 0.0000 2.5229
Ir 2.5152 2.5152 2.5229
I 0.0000 2.5152 0.0000
I 2.5152 0.0000 0.0000

7.
5
Lattice="6.5284 0.0000 0.0000 0.0000 6.5284 0.0000 0.0000 0.0000 6.5284" Properties=species:S:1:pos:R:3 comment="meta-GGA SCAN K3CuI, PBEsol geometry" volume_a3_per_fu=278.25 energy_ev_per_atom=-15.51 formation_energy_uncorrected_ev_per_atom=-0.13 pbc="T T T"
K 0.0000 0.0000 3.2642
K 0.0000 3.2642 0.0000
K 3.2642 0.0000 0.0000
Cu 3.2642 3.2642 3.2642
I 0.0000 0.0000 0.0000

8.
5
Lattice="5.1052 0.0000 0.0000 0.0000 5.1052 0.0000 0.0000 0.0000 6.5378" Properties=species:S:1:pos:R:3 comment="meta-GGA SCAN KMgCu2I, PBEsol geometry" volume_a3_per_fu=170.39 energy_ev_per_atom=-14.78 formation_energy_uncorrected_ev_per_atom=1.31 pbc="T T T"
K 0.0000 0.0000 0.0000
Mg 0.0000 0.0000 3.2689
Cu 0.0000 2.5526 0.0000
Cu 2.5526 0.0000 0.0000
I 2.5526 2.5526 3.2689

Number 1 is which compound?
YHoCu2